# 1
Here is a relaxed structure of TeRh2Se from Alexandria via LeMat-Bulk. Energies are from PBE.

The calculation puts the energy above the most stable polymorph in this dataset at 0.0002 eV per atom. The value obtained for the uncorrected formation energy is -0.2807 eV/atom. The value obtained for the uncorrected energy is -22.452 eV for the cell shown.

The structure belongs to space group P4mm (No. 99); the cell edges are 3.521, 3.521 and 6.342 Å and the angles 90.00°, 90.00° and 90.00°. The inequivalent atoms are Te at (0.000, 0.000, 0.000), Rh at (0.000, 0.000, 0.418), Rh at (0.500, 0.500, 0.164) and Se at (0.500, 0.500, 0.544).

# 2
Here is a relaxed structure of CuPb4 from Alexandria via LeMat-Bulk. Energies are from PBE.

As for the energy relative to the elements: 0.237 eV per atom. The value obtained for the uncorrected energy is -17.747 eV for the cell shown.

The structure belongs to space group Pm-3m (No. 221); the cell edges are 5.332, 5.332 and 5.332 Å and the angles 90.00°, 90.00° and 90.00°. The inequivalent atoms are Cu at (0.000, 0.000, 0.000), Pb at (0.000, 0.000, 0.500) and Pb at (0.500, 0.500, 0.500).

# 3
Here is a relaxed structure of CaH8Pd4 from Alexandria via LeMat-Bulk. Energies are from PBE.

The value obtained for the uncorrected energy is -207.937 eV for the cell shown.

The structure belongs to space group F-43m (No. 216); the cell edges are 8.198, 8.198 and 8.198 Å and the angles 90.00°, 90.00° and 90.00°. The inequivalent atoms are Ca at (0.000, 0.000, 0.000), H at (0.105, 0.105, 0.395), H at (0.156, 0.156, 0.844) and Pd at (0.123, 0.123, 0.623).

# 4
Here is a relaxed structure of ReRu2W from Alexandria via LeMat-Bulk. Energies are from PBE.

As for the energy relative to the elements: 0.095 eV per atom. The calculation puts the energy above the most stable polymorph in this dataset at 0.0825 eV per atom. The value obtained for the uncorrected energy is -43.573 eV for the cell shown.

The structure belongs to space group P4mm (No. 99); the cell edges are 2.760, 2.760 and 7.781 Å and the angles 90.00°, 90.00° and 90.00°. The inequivalent atoms are Re at (0.000, 0.000, 0.000), Ru at (0.000, 0.000, 0.486), Ru at (0.500, 0.500, 0.235) and W at (0.500, 0.500, 0.731).

# 5
Here is a relaxed structure of Ta4NbIr5 from Alexandria via LeMat-Bulk. Energies are from PBE.

As for the energy relative to the elements: -0.571 eV per atom. The value obtained for the uncorrected energy is -107.494 eV for the cell shown.

The structure belongs to space group P4/mmm (No. 123); the cell edges are 2.891, 2.891 and 19.292 Å and the angles 90.00°, 90.00° and 90.00°. The inequivalent atoms are Ta at (0.000, 0.000, 0.100), Ta at (0.000, 0.000, 0.300), Nb at (0.000, 0.000, 0.500), Ir at (0.500, 0.500, 0.000), Ir at (0.500, 0.500, 0.200) and Ir at (0.500, 0.500, 0.398).